[1]
LaYZnPt after structural relaxation, computed with PBE.

- SG = Amm2, No. 38
- total magnetization (μB/f.u.) = 0.0
- E above lowest polymorph (meV per atom) = 0.0
- ΔE_f (eV/atom) = -0.753
- calculated total energy (eV for the cell shown) = -21.7

a = 3.9811 Å, b = 4.5533 Å, c = 5.8081 Å
α = 90.00°, β = 110.04°, γ = 90.00°
With the nearest neighbours (Å) after each atom.
Fractional positions:
Y  0.8617  0.5000  0.7234  3 Zn 3.03-3.18, 4 Pt 3.10
Zn  0.5705  0.5000  0.1410  2 Pt 2.78, 2 Y 3.03
Pt  0.4249  0.0000  0.8499  2 Zn 2.78, 3 La 3.08-3.10, 4 Y 3.10
La  0.1429  0.0000  0.2857  3 Pt 3.08-3.10, 4 Zn 3.13

---

[2]
Li2Cd2Br after structural relaxation, computed with PBE.

- SG = P4/mbm, No. 127
- total magnetization (μB/f.u.) = 0.0
- E above lowest polymorph (meV per atom) = 0.0
- calculated total energy (eV for the cell shown) = -17.2
- uncorrected formation energy (eV/atom) = -0.25

a = 8.1252 Å, b = 8.1252 Å, c = 3.5069 Å
α = 90.00°, β = 90.00°, γ = 90.00°
With the nearest neighbours (Å) after each atom.
Fractional positions:
Li  0.3409  0.1591  0.5000  6 Cd 2.93-2.98
Br  0.0000  0.0000  0.0000  4 Cd 3.15, 2 Br 3.51, 8 Li 3.52
Br  0.5000  0.5000  0.0000  4 Cd 3.15, 2 Br 3.51, 8 Li 3.52
Cd  0.8634  0.6366  0.0000  6 Li 2.93-2.98, 1 Cd 3.14, 2 Br 3.15
Cd  0.3634  0.8634  0.0000  6 Li 2.93-2.98, 1 Cd 3.14, 2 Br 3.15
Cd  0.1366  0.3634  0.0000  6 Li 2.93-2.98, 1 Cd 3.14, 2 Br 3.15
Li  0.1591  0.6591  0.5000  6 Cd 2.93-2.98
Cd  0.6366  0.1366  0.0000  6 Li 2.93-2.98, 1 Cd 3.14, 2 Br 3.15
Li  0.8409  0.3409  0.5000  6 Cd 2.93-2.98
Li  0.6591  0.8409  0.5000  6 Cd 2.93-2.98

---

[3]
AcNd3Os after structural relaxation, computed with PBE.

- SG = C2/m, No. 12
- total magnetization (μB/f.u.) = 0.0
- E above lowest polymorph (meV per atom) = 0.0
- ΔE_f (eV/atom) = -0.017
- calculated total energy (eV for the cell shown) = -59.5

a = 7.9070 Å, b = 7.7393 Å, c = 7.7393 Å
α = 70.59°, β = 59.33°, γ = 59.33°
With the nearest neighbours (Å) after each atom.
Fractional positions:
Os  0.4995  0.7486  0.7486  5 Nd 2.79-2.84, 1 Ac 2.89
Os  0.5005  0.2514  0.2514  5 Nd 2.79-2.84, 1 Ac 2.89
Nd  0.2772  0.0018  0.4998  2 Os 2.84
Nd  0.2171  0.5344  0.5344  1 Os 2.79
Nd  0.7228  0.9982  0.5002  2 Os 2.84
Nd  0.2772  0.4998  0.0018  2 Os 2.84
Ac  0.2079  0.0419  0.0419  1 Os 2.89
Nd  0.7228  0.5002  0.9982  2 Os 2.84
Nd  0.7829  0.4656  0.4656  1 Os 2.79
Ac  0.7921  0.9581  0.9581  1 Os 2.89

---

[4]
PdS2O6 after structural relaxation, computed with PBE.

- SG = R3, No. 146
- total magnetization (μB/f.u.) = 0.1
- calculated total energy (eV for the cell shown) = -49.9
- uncorrected formation energy (eV/atom) = -0.75

a = 5.0101 Å, b = 5.0101 Å, c = 6.8946 Å
α = 68.69°, β = 68.69°, γ = 60.00°
With the nearest neighbours (Å) after each atom.
Fractional positions:
Pd  0.3330  0.3330  0.0011  6 O 2.21
O  0.7079  0.4725  0.7705  1 S 1.50
O  0.5592  0.8941  0.2300  1 S 1.50
O  0.3168  0.5592  0.2300  1 S 1.50
S  0.5707  0.5707  0.2879  3 O 1.50
O  0.8941  0.3168  0.2300  1 S 1.50
O  0.0491  0.7079  0.7705  1 S 1.50
O  0.4725  0.0491  0.7705  1 S 1.50
S  0.7626  0.7626  0.7122  3 O 1.50

---

[5]
CsZnHg2Rh after structural relaxation, computed with PBE.

- SG = P4/mmm, No. 123
- total magnetization (μB/f.u.) = 0.0
- ΔE_f (eV/atom) = -0.150
- calculated total energy (eV for the cell shown) = -10.8

a = 5.4317 Å, b = 5.4317 Å, c = 4.9761 Å
α = 90.00°, β = 90.00°, γ = 90.00°
With the nearest neighbours (Å) after each atom.
Fractional positions:
Hg  0.5000  0.0000  0.0000  2 Rh 2.72
Hg  0.0000  0.5000  0.0000  2 Rh 2.72
Rh  0.0000  0.0000  0.0000  2 Zn 2.49, 4 Hg 2.72
Zn  0.0000  0.0000  0.5000  2 Rh 2.49
Cs  0.5000  0.5000  0.5000  8 Hg 3.68, 4 Zn 3.84

---

[6]
YHo3Co2 after structural relaxation, computed with PBE.

- SG = C2/m, No. 12
- total magnetization (μB/f.u.) = 0.0
- E above lowest polymorph (meV per atom) = 0.0
- ΔE_f (eV/atom) = -0.163
- calculated total energy (eV for the cell shown) = -70.8

a = 3.7491 Å, b = 8.3582 Å, c = 9.9004 Å
α = 77.65°, β = 79.09°, γ = 77.04°
With the nearest neighbours (Å) after each atom.
Fractional positions:
Ho  0.4157  0.7291  0.4395  3 Co 2.75-2.90
Ho  0.4159  0.2269  0.9413  3 Co 2.75-2.91
Co  0.7673  0.4189  0.0464  2 Co 2.38
Co  0.7670  0.9185  0.5475  2 Co 2.39
Co  0.2330  0.0815  0.4525  2 Co 2.39
Ho  0.5843  0.2709  0.5605  3 Co 2.75-2.90
Y  0.8423  0.5709  0.7445  3 Co 2.78-2.97
Y  0.1577  0.4291  0.2555  3 Co 2.78-2.97
Ho  0.8405  0.0722  0.2469  3 Co 2.75-2.97
Ho  0.5841  0.7731  0.0587  3 Co 2.75-2.91
Co  0.2327  0.5811  0.9536  2 Co 2.38
Ho  0.1595  0.9278  0.7531  3 Co 2.75-2.97